# 1
The following is a GGA-PBE calculation of NaNiBr after structural relaxation, from Alexandria via LeMat-Bulk.

Cell lengths 4.9618, 4.9618, 8.8111 Å; angles 90.00, 90.00, 120.00 degrees
Element x y z (fractional)
Na  0.6667  0.3333  0.7500
Na  0.3333  0.6667  0.2500
Ni  0.0000  0.0000  0.0000
Ni  0.0000  0.0000  0.5000
Br  0.0000  0.0000  0.7500
Br  0.0000  0.0000  0.2500

Summary:
SG = No. 194
excess energy over the best structure of this formula in the dataset = 104 kJ/mol of formula units
DOS at the Fermi energy = 1.01 states/eV per cell

# 2
The following is a GGA-PBE calculation of Na2NiOsBr after structural relaxation, from Alexandria via LeMat-Bulk.

Cell lengths 5.3632, 4.4557, 5.3632 Å; angles 90.00, 90.00, 90.00 degrees
Last column: magnetic moment on the atom in μB.
Element x y z (fractional)
Os  0.5000  0.5000  0.5000  2.45
Na  0.0000  0.0000  0.5000  -0.01
Na  0.5000  0.0000  0.0000  -0.01
Ni  0.0000  0.5000  0.0000  0.31
Br  0.0000  0.0000  0.0000  0.00

Summary:
SG = No. 123
DOS at the Fermi energy = 4.82 states/eV per cell

# 3
The following is a GGA-PBE calculation of Na2NiPdBr6 after structural relaxation, from Alexandria via LeMat-Bulk.

Cell lengths 7.0415, 7.0417, 7.2085 Å; angles 60.76, 60.76, 60.00 degrees
Last column: magnetic moment on the atom in μB.
Element x y z (fractional)
Br  0.9846  0.5712  0.2687  -0.03
Br  0.6627  0.0843  0.7800  -0.03
Br  0.5711  0.1756  0.2687  -0.03
Br  0.0843  0.4731  0.7800  -0.03
Br  0.4730  0.6626  0.7801  -0.03
Br  0.1755  0.9845  0.2688  -0.03
Na  0.0312  0.0311  0.9069  0.00
Na  0.5327  0.5325  0.4024  0.00
Ni  0.3233  0.3233  0.0297  0.90
Pd  0.8232  0.8234  0.5301  -0.65

Summary:
SG = No. 146
DOS at the Fermi energy = 0.80 states/eV per cell

For each record above, in turn, the calculated electronic total energy values are -2.96; -3.14; -3.11 eV/atom.
For each record above, in turn, the calculated energy relative to the elements, uncorrected values are -0.039; 1.126; -0.742 eV/atom.
For each record above, in turn, the calculated calculated volume values are 187.9; 128.2; 255.6 Å³ per cell.